1.
This record from Alexandria via LeMat-Bulk describes Tb6Pm2Ho3Tm after structural relaxation. The functional is PBE-GGA.

```
12
Lattice="-0.558 -4.021 4.634 -3.728 -0.402 -4.889 9.027 -5.606 -5.136" Properties=species:S:1:pos:R:3 pbc="T T T"
Pm -1.615 -2.815 1.460
Pm -2.672 -1.608 -1.714
Ho 1.312 -3.807 -5.873
Ho 3.428 -6.223 0.483
Ho 2.370 -5.015 -2.695
Tb 0.675 -1.920 -2.941
Tb 3.012 -6.906 -5.614
Tb -0.947 -4.740 -1.487
Tb 1.728 -3.123 0.224
Tb 5.688 -5.289 -3.904
Tb 4.066 -8.109 -2.449
Tm 0.000 0.000 0.000
```

Its symmetry is No. 12. The energy relative to the elements is 15 meV per atom.


2.
This record from Alexandria via LeMat-Bulk describes SiMoSeN2 after structural relaxation. The functional is PBE-GGA.

```
5
Lattice="3.503 0.000 0.000 0.000 3.503 0.000 0.000 0.000 6.576" Properties=species:S:1:pos:R:3 pbc="T T T"
Mo 1.751 1.751 3.288
Si 0.000 0.000 0.000
N 0.000 1.751 0.000
N 1.751 0.000 0.000
Se 0.000 0.000 3.288
```

Its symmetry is No. 123. The value obtained for the uncorrected formation energy is 0.851 eV per atom.


Number 1: N(E_F) 15.2 states/eV/f.u.. Number 2: N(E_F) 4.2 states/eV/f.u..